# 1
# Li2Br GGA-PBE relaxed
data_Li2Br
_chemical_formula_sum 'Li4 Br2'
_cell_length_a 11.0376
_cell_length_b 11.0376
_cell_length_c 3.8542
_cell_angle_alpha 90.00
_cell_angle_beta 90.00
_cell_angle_gamma 161.57
_symmetry_space_group_name_H-M 'P 1'
_symmetry_Int_Tables_number 1
loop_
_symmetry_equiv_pos_as_xyz
'x,y,z'
loop_
_atom_site_label
_atom_site_fract_x
_atom_site_fract_y
_atom_site_fract_z
Li1 0.1000 0.9000 0.7500
Li2 0.2136 0.7864 0.2500
Li3 0.7864 0.2136 0.7500
Li4 0.9000 0.1000 0.2500
Br1 0.4076 0.5924 0.7500
Br2 0.5924 0.4076 0.2500
# Spin magnetization (μB per cell): 0.00
# Space-group type: Cmcm
# Raw total energy (eV/cell): -15.9
# ΔE_f (raw) (eV/atom): -0.825


# 2
# Li2SiPb GGA-PBE relaxed
data_Li2SiPb
_chemical_formula_sum 'Li2 Si1 Pb1'
_cell_length_a 5.1973
_cell_length_b 5.1973
_cell_length_c 2.9824
_cell_angle_alpha 90.00
_cell_angle_beta 90.00
_cell_angle_gamma 109.55
_symmetry_space_group_name_H-M 'P 1'
_symmetry_Int_Tables_number 1
loop_
_symmetry_equiv_pos_as_xyz
'x,y,z'
loop_
_atom_site_label
_atom_site_fract_x
_atom_site_fract_y
_atom_site_fract_z
Li1 0.0000 0.5000 0.0000
Li2 0.5000 0.0000 0.0000
Si1 0.0000 0.0000 0.5000
Pb1 0.5000 0.5000 0.5000
# Distance to the lowest polymorph of the same formula (meV per atom): 25
# Spin magnetization (μB per cell): 0.00
# Space-group type: Cmmm
# Raw total energy (eV/cell): -13.2
# ΔE_f (raw) (eV/atom): -0.059


# 3
# CsBeAl2Ni GGA-PBE relaxed
data_CsBeAl2Ni
_chemical_formula_sum 'Cs1 Be1 Al2 Ni1'
_cell_length_a 6.0417
_cell_length_b 6.0417
_cell_length_c 4.8529
_cell_angle_alpha 90.00
_cell_angle_beta 90.00
_cell_angle_gamma 90.00
_symmetry_space_group_name_H-M 'P 1'
_symmetry_Int_Tables_number 1
loop_
_symmetry_equiv_pos_as_xyz
'x,y,z'
loop_
_atom_site_label
_atom_site_fract_x
_atom_site_fract_y
_atom_site_fract_z
Cs1 0.0000 0.0000 0.0000
Be1 0.5000 0.5000 0.5000
Al1 0.0000 0.5000 0.0000
Al2 0.5000 0.0000 0.0000
Ni1 0.0000 0.0000 0.5000
# Spin magnetization (μB per cell): 0.00
# Space-group type: P4/mmm
# Raw total energy (eV/cell): -6.6
# Formation enthalpy at 0 K (eV/atom): 2.2409


# 4
# Ce3SnPd6 GGA-PBE relaxed
data_Ce3SnPd6
_chemical_formula_sum 'Ce3 Sn1 Pd6'
_cell_length_a 6.9128
_cell_length_b 6.9128
_cell_length_c 6.9128
_cell_angle_alpha 111.92
_cell_angle_beta 111.92
_cell_angle_gamma 111.92
_symmetry_space_group_name_H-M 'P 1'
_symmetry_Int_Tables_number 1
loop_
_symmetry_equiv_pos_as_xyz
'x,y,z'
loop_
_atom_site_label
_atom_site_fract_x
_atom_site_fract_y
_atom_site_fract_z
Ce1 0.2104 0.2104 0.5792
Ce2 0.2104 0.5792 0.2104
Ce3 0.5792 0.2104 0.2104
Sn1 0.6555 0.6555 0.6555
Pd1 0.0893 0.0893 0.8468
Pd2 0.0893 0.8468 0.0893
Pd3 0.1064 0.6331 0.6331
Pd4 0.6331 0.1064 0.6331
Pd5 0.6331 0.6331 0.1064
Pd6 0.8468 0.0893 0.0893
# Spin magnetization (μB per cell): 2.04
# Space-group type: R3m
# Raw total energy (eV/cell): -56.7
# Formation enthalpy at 0 K (eV/atom): -0.3712


# 5
# SmLuPa GGA-PBE relaxed
data_SmLuPa
_chemical_formula_sum 'Sm1 Lu1 Pa1'
_cell_length_a 7.9352
_cell_length_b 7.9352
_cell_length_c 7.9352
_cell_angle_alpha 155.30
_cell_angle_beta 155.30
_cell_angle_gamma 35.22
_symmetry_space_group_name_H-M 'P 1'
_symmetry_Int_Tables_number 1
loop_
_symmetry_equiv_pos_as_xyz
'x,y,z'
loop_
_atom_site_label
_atom_site_fract_x
_atom_site_fract_y
_atom_site_fract_z
Sm1 0.0000 0.0000 0.0000
Lu1 0.6862 0.6862 0.0000
Pa1 0.3397 0.3397 0.0000
# Distance to the lowest polymorph of the same formula (meV per atom): 29
# Spin magnetization (μB per cell): 0.01
# Space-group type: I4mm
# Raw total energy (eV/cell): -18.3
# Formation enthalpy at 0 K (eV/atom): 0.1578


# 6
# Pr2Zn3Ni GGA-PBE relaxed
data_Pr2Zn3Ni
_chemical_formula_sum 'Pr2 Zn3 Ni1'
_cell_length_a 3.7681
_cell_length_b 4.4539
_cell_length_c 7.7080
_cell_angle_alpha 90.00
_cell_angle_beta 90.00
_cell_angle_gamma 90.00
_symmetry_space_group_name_H-M 'P 1'
_symmetry_Int_Tables_number 1
loop_
_symmetry_equiv_pos_as_xyz
'x,y,z'
loop_
_atom_site_label
_atom_site_fract_x
_atom_site_fract_y
_atom_site_fract_z
Pr1 0.0000 0.0000 0.0000
Pr2 0.0000 0.5000 0.4577
Zn1 0.5000 0.0000 0.6366
Zn2 0.5000 0.5000 0.1434
Zn3 0.5000 0.5000 0.8058
Ni1 0.5000 0.0000 0.3056
# Spin magnetization (μB per cell): 0.00
# Space-group type: Pmm2
# Raw total energy (eV/cell): -21.2
# Formation enthalpy at 0 K (eV/atom): -0.3329